No. 1
First-principles (PBE) data for a geometry-optimized FeBPAuC2 structure, as listed in the Alexandria database.

Values from the calculation:
Energy above the lowest structure with this stoichiometry in meV per atom: 117.0
Energy relative to the elements in meV per atom: 428
Volume in A^3/atom: 11.19
Density in kg/m³: 7877
SG: Pm (6)

Cell: 4.8582 2.7603 5.3893 Å, 90.00 111.66 90.00°
Element x y z (fractional)
Fe  0.0000  0.0000  0.0000
B  0.3791  0.5000  0.8257
P  0.9476  0.0000  0.4029
Au  0.4965  0.5000  0.3326
C  0.2152  0.0000  0.7390
C  0.7316  0.5000  0.9198

No. 2
First-principles (PBE) data for a geometry-optimized CaNpNi4 structure, as listed in the Alexandria database.

Values from the calculation:
Energy above the lowest structure with this stoichiometry in meV per atom: 59.7
Energy relative to the elements in meV per atom: -77
Volume in A^3/atom: 15.22
Density in kg/m³: 9309
SG: F-43m (216)

Cell: 5.0544 5.0544 5.0544 Å, 60.00 60.00 60.00°
Element x y z (fractional)
Ca  0.0000  0.0000  0.0000
Np  0.2500  0.2500  0.2500
Ni  0.1266  0.6245  0.6245
Ni  0.6245  0.1266  0.6245
Ni  0.6245  0.6245  0.1266
Ni  0.6245  0.6245  0.6245

No. 3
First-principles (PBE) data for a geometry-optimized LiZnSb2 structure, as listed in the Alexandria database.

Values from the calculation:
Volume in A^3/atom: 22.08
E_form (uncorrected) in eV/atom: -0.06
Density in kg/m³: 5938
SG: F222 (22)

Cell: 5.8292 5.8142 4.2003 Å, 69.04 68.66 42.29°
Element x y z (fractional)
Li  0.0000  0.0000  0.0000
Zn  0.2500  0.2500  0.2500
Sb  0.5000  0.5000  0.5000
Sb  0.7500  0.7500  0.7500

No. 4
First-principles (PBE) data for a geometry-optimized RbIn3Pt structure, as listed in the Alexandria database.

Values from the calculation:
Energy above the lowest structure with this stoichiometry in meV per atom: 100.6
Energy relative to the elements in meV per atom: -184
Volume in A^3/atom: 30.63
Density in kg/m³: 6776
SG: Pm-3m (221)

Cell: 5.3505 5.3505 5.3505 Å, 90.00 90.00 90.00°
Element x y z (fractional)
Rb  0.0000  0.0000  0.0000
In  0.0000  0.5000  0.5000
In  0.5000  0.0000  0.5000
In  0.5000  0.5000  0.0000
Pt  0.5000  0.5000  0.5000

No. 5
First-principles (PBE) data for a geometry-optimized LuPH structure, as listed in the Alexandria database.

Values from the calculation:
Energy above the lowest structure with this stoichiometry in meV per atom: 0.0
Volume in A^3/atom: 16.43
Density in kg/m³: 6972
SG: C2/m (12)

Cell: 4.9548 4.9548 5.5058 Å, 98.61 98.61 47.67°
Element x y z (fractional)
Lu  0.1904  0.1904  0.2099
Lu  0.8096  0.8096  0.7901
P  0.0983  0.0983  0.6533
P  0.9017  0.9017  0.3467
H  0.3371  0.3371  0.9441
H  0.6629  0.6629  0.0559

No. 6
First-principles (PBE) data for a geometry-optimized Nb4SnS8 structure, as listed in the Alexandria database.

Values from the calculation:
Energy above the lowest structure with this stoichiometry in meV per atom: 0.0
Volume in A^3/atom: 22.45
E_form (uncorrected) in eV/atom: -0.93
Density in kg/m³: 4249
SG: C2/m (12)

Cell: 6.7682 6.7682 9.3641 Å, 122.47 122.47 60.19°
Element x y z (fractional)
Nb  0.2413  0.7587  0.0000
Nb  0.2452  0.2452  0.9946
Nb  0.7548  0.7548  0.0054
Nb  0.7587  0.2413  0.0000
Sn  0.5000  0.5000  0.5000
S  0.1917  0.6878  0.2136
S  0.1926  0.1926  0.2178
S  0.3122  0.8083  0.7864
S  0.3157  0.3157  0.7927
S  0.6843  0.6843  0.2073
S  0.6878  0.1917  0.2136
S  0.8074  0.8074  0.7822
S  0.8083  0.3122  0.7864

No. 7
First-principles (PBE) data for a geometry-optimized ZrGa3 structure, as listed in the Alexandria database.

Values from the calculation:
Energy relative to the elements in meV per atom: -361
Volume in A^3/atom: 18.41
Density in kg/m³: 6774
SG: Imm2 (44)

Cell: 5.5768 5.5768 5.5768 Å, 147.49 63.55 127.03°
Element x y z (fractional)
Zr  0.0000  0.0000  0.0000
Ga  0.0734  0.3240  0.7494
Ga  0.4850  0.9850  0.5000
Ga  0.5746  0.3240  0.2506

No. 8
First-principles (PBE) data for a geometry-optimized Rb4Cr3InBr12 structure, as listed in the Alexandria database.

Values from the calculation:
Volume in A^3/atom: 32.58
E_form (uncorrected) in eV/atom: -1.11
Density in kg/m³: 4005
SG: Im-3m (229)

Cell: 9.4594 9.4594 9.4594 Å, 109.47 109.47 109.47°
Element x y z (fractional)
Rb  0.0000  0.0000  0.5000
Rb  0.0000  0.5000  0.0000
Rb  0.5000  0.0000  0.0000
Rb  0.5000  0.5000  0.5000
Cr  0.0000  0.5000  0.5000
Cr  0.5000  0.0000  0.5000
Cr  0.5000  0.5000  0.0000
In  0.0000  0.0000  0.0000
Br  0.0000  0.2720  0.2720
Br  0.0000  0.7280  0.7280
Br  0.2500  0.5000  0.7500
Br  0.2500  0.7500  0.5000
Br  0.2720  0.0000  0.2720
Br  0.2720  0.2720  0.0000
Br  0.5000  0.2500  0.7500
Br  0.5000  0.7500  0.2500
Br  0.7280  0.0000  0.7280
Br  0.7280  0.7280  0.0000
Br  0.7500  0.2500  0.5000
Br  0.7500  0.5000  0.2500

No. 9
First-principles (PBE) data for a geometry-optimized YZnBr4 structure, as listed in the Alexandria database.

Values from the calculation:
Volume in A^3/atom: 28.90
E_form (uncorrected) in eV/atom: 0.04
Density in kg/m³: 4539
SG: F-43m (216)

Cell: 6.2589 6.2589 6.2589 Å, 60.00 60.00 60.00°
Element x y z (fractional)
Y  0.0000  0.0000  0.0000
Zn  0.7500  0.7500  0.7500
Br  0.3747  0.3747  0.3747
Br  0.3747  0.3747  0.8760
Br  0.3747  0.8760  0.3747
Br  0.8760  0.3747  0.3747

No. 10
First-principles (PBE) data for a geometry-optimized Ca2ZrPt structure, as listed in the Alexandria database.

Values from the calculation:
Energy above the lowest structure with this stoichiometry in meV per atom: 324.0
Energy relative to the elements in meV per atom: -101
Volume in A^3/atom: 23.37
Density in kg/m³: 6510
SG: I4/mmm (139)

Cell: 6.0047 6.0047 6.0047 Å, 138.67 138.67 59.88°
Element x y z (fractional)
Ca  0.2500  0.7500  0.5000
Ca  0.7500  0.2500  0.5000
Zr  0.0000  0.0000  0.0000
Pt  0.5000  0.5000  0.0000

No. 11
First-principles (PBE) data for a geometry-optimized AlAs structure, as listed in the Alexandria database.

Values from the calculation:
Energy relative to the elements in meV per atom: -335
Volume in A^3/atom: 25.27
Density in kg/m³: 3349
SG: C2/m (12)

Cell: 4.0447 4.0447 7.1335 Å, 90.38 90.38 60.00°
Element x y z (fractional)
Al  0.1678  0.1678  0.1272
Al  0.8322  0.8322  0.8728
As  0.1646  0.1646  0.7546
As  0.8354  0.8354  0.2454

No. 12
First-principles (PBE) data for a geometry-optimized LiLa8Nd5 structure, as listed in the Alexandria database.

Values from the calculation:
Energy relative to the elements in meV per atom: 201
Volume in A^3/atom: 36.21
Density in kg/m³: 6025
SG: I-4 (82)

Cell: 8.7035 8.7035 8.7035 Å, 110.59 110.59 107.25°
Element x y z (fractional)
Li  0.0000  0.0000  0.0000
La  0.0858  0.7033  0.7735
La  0.2728  0.5077  0.0988
La  0.2967  0.0702  0.3825
La  0.4090  0.1740  0.9012
La  0.4923  0.5910  0.7650
La  0.6877  0.9142  0.6175
La  0.8260  0.7272  0.2350
La  0.9298  0.3123  0.2265
Nd  0.0312  0.2292  0.6080
Nd  0.2500  0.7500  0.5000
Nd  0.5768  0.9688  0.1980
Nd  0.6213  0.4232  0.3920
Nd  0.7708  0.3787  0.8020

No. 13
First-principles (PBE) data for a geometry-optimized TeBr3Cl structure, as listed in the Alexandria database.

Values from the calculation:
Energy above the lowest structure with this stoichiometry in meV per atom: 0.0
Volume in A^3/atom: 41.37
E_form (uncorrected) in eV/atom: -0.39
Density in kg/m³: 3233
SG: P4_1 (76)

Cell: 7.9039 7.9039 13.2458 Å, 90.00 90.00 90.00°
Element x y z (fractional)
Te  0.1371  0.3611  0.0000
Te  0.3611  0.8629  0.7500
Te  0.6389  0.1371  0.2500
Te  0.8629  0.6389  0.5000
Br  0.0056  0.8273  0.6505
Br  0.1329  0.6046  0.4008
Br  0.1727  0.0056  0.9005
Br  0.3323  0.5090  0.8549
Br  0.3954  0.1329  0.6508
Br  0.4910  0.3323  0.1049
Br  0.5090  0.6677  0.6049
Br  0.6046  0.8671  0.1508
Br  0.6677  0.4910  0.3549
Br  0.8273  0.9944  0.4005
Br  0.8671  0.3954  0.9008
Br  0.9944  0.1727  0.1505
Cl  0.1040  0.6156  0.0918
Cl  0.3844  0.1040  0.3418
Cl  0.6156  0.8960  0.8418
Cl  0.8960  0.3844  0.5918

No. 14
First-principles (PBE) data for a geometry-optimized BaCaO2 structure, as listed in the Alexandria database.

Values from the calculation:
Energy above the lowest structure with this stoichiometry in meV per atom: 102.6
Volume in A^3/atom: 17.62
E_form (uncorrected) in eV/atom: -2.56
Density in kg/m³: 4934
SG: Pmmn (59)

Cell: 3.5828 6.2234 6.3220 Å, 90.00 90.00 90.00°
Element x y z (fractional)
Ba  0.2500  0.2500  0.0950
Ba  0.7500  0.7500  0.9050
Ca  0.2500  0.7500  0.4253
Ca  0.7500  0.2500  0.5747
O  0.2500  0.0086  0.7197
O  0.2500  0.4914  0.7197
O  0.7500  0.5086  0.2803
O  0.7500  0.9914  0.2803

No. 15
First-principles (PBE) data for a geometry-optimized LiCeAu2 structure, as listed in the Alexandria database.

Values from the calculation:
Energy relative to the elements in meV per atom: -518
Volume in A^3/atom: 21.76
Density in kg/m³: 10322
SG: P4/mmm (123)

Cell: 5.0250 5.0250 3.4467 Å, 90.00 90.00 90.00°
Element x y z (fractional)
Li  0.0000  0.0000  0.0000
Ce  0.5000  0.5000  0.0000
Au  0.0000  0.5000  0.5000
Au  0.5000  0.0000  0.5000

No. 16
First-principles (PBE) data for a geometry-optimized CsSrMg structure, as listed in the Alexandria database.

Values from the calculation:
Energy relative to the elements in meV per atom: 135
Volume in A^3/atom: 54.40
Density in kg/m³: 2491
SG: P1 (1)

Cell: 4.3103 7.6071 11.0910 Å, 70.05 89.76 73.69°
Element x y z (fractional)
Cs  0.0000  0.0000  0.0000
Cs  0.3087  0.3790  0.1976
Sr  0.3515  0.2953  0.5870
Sr  0.6585  0.6749  0.7351
Mg  0.0207  0.9582  0.4798
Mg  0.6474  0.7080  0.3938

No. 17
First-principles (PBE) data for a geometry-optimized KMnMo2 structure, as listed in the Alexandria database.

Values from the calculation:
Energy above the lowest structure with this stoichiometry in meV per atom: 275.6
Energy relative to the elements in meV per atom: 1029
Volume in A^3/atom: 23.67
Density in kg/m³: 5014
SG: Imm2 (44)

Cell: 8.3247 8.3247 8.3247 Å, 159.12 152.56 34.74°
Element x y z (fractional)
K  0.0000  0.0000  0.0000
Mn  0.7994  0.2994  0.5000
Mo  0.3001  0.8001  0.5000
Mo  0.6869  0.6869  0.0000

No. 18
First-principles (PBE) data for a geometry-optimized Cs2HfZnF6 structure, as listed in the Alexandria database.

Values from the calculation:
Volume in A^3/atom: 24.46
E_form (uncorrected) in eV/atom: -2.99
Density in kg/m³: 4234
SG: Fm-3m (225)

Cell: 7.0201 7.0201 7.0201 Å, 60.00 60.00 60.00°
Element x y z (fractional)
Cs  0.2500  0.2500  0.2500
Cs  0.7500  0.7500  0.7500
Hf  0.0000  0.0000  0.0000
Zn  0.5000  0.5000  0.5000
F  0.2023  0.2023  0.7977
F  0.2023  0.7977  0.2023
F  0.2023  0.7977  0.7977
F  0.7977  0.2023  0.2023
F  0.7977  0.2023  0.7977
F  0.7977  0.7977  0.2023

No. 19
First-principles (PBE) data for a geometry-optimized Pr8InSb3Te4 structure, as listed in the Alexandria database.

Values from the calculation:
Volume in A^3/atom: 33.38
E_form (uncorrected) in eV/atom: -1.26
Density in kg/m³: 6585
SG: R-3m (166)

Cell: 9.1104 9.1104 9.1104 Å, 59.95 59.95 59.95°
Element x y z (fractional)
Pr  0.2466  0.2466  0.2466
Pr  0.2486  0.7468  0.7468
Pr  0.2532  0.2532  0.7514
Pr  0.2532  0.7514  0.2532
Pr  0.7468  0.2486  0.7468
Pr  0.7468  0.7468  0.2486
Pr  0.7514  0.2532  0.2532
Pr  0.7534  0.7534  0.7534
In  0.5000  0.5000  0.5000
Sb  0.0000  0.0000  0.5000
Sb  0.0000  0.5000  0.0000
Sb  0.5000  0.0000  0.0000
Te  0.0000  0.0000  0.0000
Te  0.0000  0.5000  0.5000
Te  0.5000  0.0000  0.5000
Te  0.5000  0.5000  0.0000

No. 20
First-principles (PBE) data for a geometry-optimized BaSm3Ru structure, as listed in the Alexandria database.

Values from the calculation:
Energy relative to the elements in meV per atom: -55
Volume in A^3/atom: 35.89
Density in kg/m³: 6379
SG: Pm-3m (221)

Cell: 5.6407 5.6407 5.6407 Å, 90.00 90.00 90.00°
Element x y z (fractional)
Ba  0.0000  0.0000  0.0000
Sm  0.0000  0.5000  0.5000
Sm  0.5000  0.0000  0.5000
Sm  0.5000  0.5000  0.0000
Ru  0.5000  0.5000  0.5000

No. 21
First-principles (PBE) data for a geometry-optimized Ta2ReSb structure, as listed in the Alexandria database.

Values from the calculation:
Volume in A^3/atom: 18.08
E_form (uncorrected) in eV/atom: 0.16
Density in kg/m³: 15385
SG: P4/mmm (123)

Cell: 3.4478 3.4478 6.0820 Å, 90.00 90.00 90.00°
Element x y z (fractional)
Ta  0.0000  0.0000  0.2390
Ta  0.0000  0.0000  0.7610
Re  0.5000  0.5000  0.0000
Sb  0.5000  0.5000  0.5000

No. 22
First-principles (PBE) data for a geometry-optimized Ac2HfVS6 structure, as listed in the Alexandria database.

Values from the calculation:
Volume in A^3/atom: 23.06
E_form (uncorrected) in eV/atom: -1.60
Density in kg/m³: 6307
SG: Pmmn (59)

Cell: 6.7872 9.7157 6.9932 Å, 90.00 90.00 90.00°
Element x y z (fractional)
Ac  0.2500  0.0297  0.2081
Ac  0.2500  0.4703  0.2081
Ac  0.7500  0.5297  0.7919
Ac  0.7500  0.9703  0.7919
Hf  0.2500  0.2500  0.7200
Hf  0.7500  0.7500  0.2800
V  0.2500  0.7500  0.7670
V  0.7500  0.2500  0.2330
S  0.0065  0.7500  0.0175
S  0.0065  0.2500  0.4628
S  0.2500  0.5034  0.7725
S  0.2500  0.9966  0.7725
S  0.4935  0.2500  0.4628
S  0.4935  0.7500  0.0175
S  0.5065  0.2500  0.9825
S  0.5065  0.7500  0.5372
S  0.7500  0.0034  0.2275
S  0.7500  0.4966  0.2275
S  0.9935  0.7500  0.5372
S  0.9935  0.2500  0.9825

No. 23
First-principles (PBE) data for a geometry-optimized CuI structure, as listed in the Alexandria database.

Values from the calculation:
Volume in A^3/atom: 28.48
E_form (uncorrected) in eV/atom: -0.12
Density in kg/m³: 5551
SG: P4_2/mnm (136)

Cell: 7.1930 7.1930 4.4042 Å, 90.00 90.00 90.00°
Element x y z (fractional)
Cu  0.1314  0.1314  0.0000
Cu  0.3686  0.6314  0.5000
Cu  0.6314  0.3686  0.5000
Cu  0.8686  0.8686  0.0000
I  0.2241  0.7759  0.0000
I  0.2759  0.2759  0.5000
I  0.7241  0.7241  0.5000
I  0.7759  0.2241  0.0000

No. 24
First-principles (PBE) data for a geometry-optimized Pm6SnSb2Te3 structure, as listed in the Alexandria database.

Values from the calculation:
Volume in A^3/atom: 32.06
E_form (uncorrected) in eV/atom: -1.27
Density in kg/m³: 6971
SG: C2/m (12)

Cell: 10.0519 10.0519 8.9836 Å, 103.05 103.05 25.83°
Element x y z (fractional)
Pm  0.0014  0.0014  0.2423
Pm  0.3313  0.3313  0.4223
Pm  0.3370  0.3370  0.9132
Pm  0.6630  0.6630  0.0868
Pm  0.6687  0.6687  0.5777
Pm  0.9986  0.9986  0.7577
Sn  0.5000  0.5000  0.0000
Sb  0.1668  0.1668  0.3335
Sb  0.8332  0.8332  0.6665
Te  0.1677  0.1677  0.8329
Te  0.5000  0.5000  0.5000
Te  0.8323  0.8323  0.1671